Record 1
## Rb2LiU2Te6 (PBE)

Data for a relaxed Rb2LiU2Te6 crystal.

Results
The crystal system is monoclinic. The uncorrected formation energy comes out at -0.823 eV/atom.

Cell: 7.698 13.313 9.023 Å, 90.00 105.86 90.00°
Space group C2/m (No. 12)
Inequivalent atoms, fractional coordinates:
1 Rb 0.000 0.163 0.000
2 Li 0.000 0.000 0.500
3 U 0.000 0.333 0.500
4 Te 0.212 0.500 0.695
5 Te 0.234 0.171 0.692



Record 2
## TlZn2Br (PBE)

Data for a relaxed TlZn2Br crystal.

Results
The crystal system is tetragonal. The uncorrected formation energy comes out at -0.124 eV/atom. As for the offset from the most stable computed form: 21.2 meV/atom.

Cell: 3.784 3.784 7.530 Å, 90.00 90.00 90.00°
Space group P4mm (No. 99)
Inequivalent atoms, fractional coordinates:
1 Tl 0.000 0.000 0.000
2 Zn 0.000 0.000 0.389
3 Zn 0.500 0.500 0.385
4 Br 0.500 0.500 0.761



Record 3
## Sc2VBiB (PBE)

Data for a relaxed Sc2VBiB crystal.

Results
The crystal system is tetragonal. For the energy relative to the elements, the calculation gives 0.5793 eV per atom.

Cell: 4.969 4.969 4.177 Å, 90.00 90.00 90.00°
Space group P4/mmm (No. 123)
Inequivalent atoms, fractional coordinates:
1 Sc 0.000 0.500 0.000
2 V 0.000 0.000 0.000
3 Bi 0.500 0.500 0.500
4 B 0.000 0.000 0.500



Record 4
## Ba2Li2NdS4 (PBE)

Data for a relaxed Ba2Li2NdS4 crystal.

Results
The crystal system is monoclinic. The uncorrected formation energy comes out at -1.715 eV/atom.

Cell: 15.158 4.120 7.422 Å, 90.00 110.06 90.00°
Space group C2/m (No. 12)
Inequivalent atoms, fractional coordinates:
1 Ba 0.133 0.000 0.058
2 Li 0.182 0.500 0.495
3 Nd 0.000 0.000 0.500
4 S 0.023 0.500 0.251
5 S 0.206 0.000 0.691



Record 5
## Li2CaSiTe4 (PBE)

Data for a relaxed Li2CaSiTe4 crystal.

Results
The crystal system is orthorhombic. The uncorrected formation energy comes out at -0.642 eV/atom.

Cell: 7.799 9.116 12.019 Å, 90.00 90.00 90.00°
Space group Imma (No. 74)
Inequivalent atoms, fractional coordinates:
1 Li 0.000 0.000 0.000
2 Li 0.250 0.250 0.250
3 Ca 0.000 0.000 0.500
4 Si 0.250 0.250 0.750
5 Te 0.000 0.033 0.758
6 Te 0.234 0.250 0.996



Record 6
## Nd3CdAu5 (PBE)

Data for a relaxed Nd3CdAu5 crystal.

Results
The crystal system is hexagonal. For the energy relative to the elements, the calculation gives -0.7107 eV per atom.

Cell: 8.9137 8.9137 6.2427 Å, 90.00 90.00 120.00°
Space group P6_3/mcm (No. 193)
Inequivalent atoms, fractional coordinates:
1 Nd 0.0000 0.3578 0.2500
2 Cd 0.0000 0.0000 0.0000
3 Au 0.0000 0.3061 0.7500
4 Au 0.3333 0.6667 0.0000



Record 7
## Hf2CrP (PBE)

Data for a relaxed Hf2CrP crystal.

Results
The crystal system is tetragonal. For the energy relative to the elements, the calculation gives 0.0584 eV per atom.

Cell: 7.298 7.298 5.690 Å, 90.00 90.00 90.00°
Space group I-42d (No. 122)
Inequivalent atoms, fractional coordinates:
1 Hf 0.222 0.250 0.125
2 Cr 0.000 0.000 0.500
3 P 0.000 0.000 0.000



Record 8
## ZrPt2O6 (PBE)

Data for a relaxed ZrPt2O6 crystal.

Results
The crystal system is trigonal. The uncorrected formation energy comes out at -1.358 eV/atom.

Cell: 5.2631 5.2631 4.4788 Å, 90.00 90.00 120.00°
Space group P-31m (No. 162)
Inequivalent atoms, fractional coordinates:
1 Zr 0.0000 0.0000 0.0000
2 Pt 0.3333 0.6667 0.5000
3 O 0.0000 0.3407 0.7368



Record 9
## Tm3ThSc (PBE)

Data for a relaxed Tm3ThSc crystal.

Results
The crystal system is monoclinic. For the energy relative to the elements, the calculation gives 0.0450 eV per atom. As for the offset from the most stable computed form: 0.0 meV/atom.

Cell: 16.326 5.297 6.810 Å, 90.00 90.44 90.00°
Space group C2/m (No. 12)
Inequivalent atoms, fractional coordinates:
1 Tm 0.002 0.000 0.247
2 Tm 0.113 0.500 0.496
3 Tm 0.202 0.000 0.747
4 Th 0.106 0.500 0.997
5 Sc 0.200 0.000 0.245



Record 10
## Tb3TmNi (PBE)

Data for a relaxed Tb3TmNi crystal.

Results
The crystal system is monoclinic. For the energy relative to the elements, the calculation gives -0.1074 eV per atom. As for the offset from the most stable computed form: 67.0 meV/atom.

Cell: 6.296 5.150 8.364 Å, 90.00 94.72 90.00°
Space group Pm (No. 6)
Inequivalent atoms, fractional coordinates:
1 Tb 0.000 0.000 0.000
2 Tb 0.025 0.000 0.428
3 Tb 0.390 0.500 0.468
4 Tb 0.416 0.500 0.896
5 Tb 0.591 0.000 0.675
6 Tb 0.824 0.500 0.222
7 Tm 0.485 0.000 0.198
8 Tm 0.931 0.500 0.699
9 Ni 0.165 0.000 0.730
10 Ni 0.249 0.500 0.166



Record 11
## TmMgCoSn (PBE)

Data for a relaxed TmMgCoSn crystal.

Results
The crystal system is cubic. For the energy relative to the elements, the calculation gives -0.1986 eV per atom.

Cell: 6.649 6.649 6.649 Å, 90.00 90.00 90.00°
Space group F-43m (No. 216)
Inequivalent atoms, fractional coordinates:
1 Tm 0.000 0.000 0.000
2 Mg 0.250 0.250 0.750
3 Co 0.250 0.250 0.250
4 Sn 0.000 0.000 0.500



Record 12
## La2Dy3Tm (PBE)

Data for a relaxed La2Dy3Tm crystal.

Results
The crystal system is monoclinic. For the energy relative to the elements, the calculation gives 0.0960 eV per atom. As for the offset from the most stable computed form: 25.2 meV/atom.

Cell: 17.169 5.612 10.200 Å, 90.00 125.12 90.00°
Space group C2/m (No. 12)
Inequivalent atoms, fractional coordinates:
1 La 0.011 0.000 0.365
2 La 0.228 0.500 0.368
3 Dy 0.050 0.500 0.898
4 Dy 0.112 0.000 0.153
5 Dy 0.206 0.000 0.923
6 Tm 0.135 0.500 0.647



Record 13
## VHOs2W (PBE)

Data for a relaxed VHOs2W crystal.

Results
Its total energy is -47.7 eV for the cell shown. The crystal system is tetragonal.

Cell: 3.930 3.930 3.907 Å, 90.00 90.00 90.00°
Space group P4/mmm (No. 123)
Inequivalent atoms, fractional coordinates:
1 V 0.000 0.000 0.000
2 H 0.000 0.000 0.500
3 Os 0.000 0.500 0.500
4 W 0.500 0.500 0.000



Record 14
## RuW2Au (PBE)

Data for a relaxed RuW2Au crystal.

Results
The crystal system is orthorhombic. For the energy relative to the elements, the calculation gives 0.4562 eV per atom. As for the offset from the most stable computed form: 274.0 meV/atom.

Cell: 3.034 4.652 9.255 Å, 90.00 90.00 90.00°
Space group Imm2 (No. 44)
Inequivalent atoms, fractional coordinates:
1 Ru 0.000 0.000 0.000
2 W 0.000 0.000 0.461
3 W 0.000 0.500 0.727
4 Au 0.000 0.500 0.233



Record 15
## CdNiPt4 (PBE)

Data for a relaxed CdNiPt4 crystal.

Results
The crystal system is cubic. For the energy relative to the elements, the calculation gives 0.0770 eV per atom. As for the offset from the most stable computed form: 218.7 meV/atom.

Cell: 7.442 7.442 7.442 Å, 90.00 90.00 90.00°
Space group F-43m (No. 216)
Inequivalent atoms, fractional coordinates:
1 Cd 0.000 0.000 0.000
2 Ni 0.250 0.250 0.250
3 Pt 0.125 0.125 0.625



Record 16
## Sr2DyP2N6 (PBE)

Data for a relaxed Sr2DyP2N6 crystal.

Results
The crystal system is trigonal. The uncorrected formation energy comes out at -0.852 eV/atom.

Cell: 5.7360 5.7360 18.1711 Å, 90.00 90.00 120.00°
Space group R-3m (No. 166, hexagonal axes)
Inequivalent atoms, fractional coordinates:
1 Sr 0.0000 0.0000 0.2052
2 Dy 0.0000 0.0000 0.0000
3 P 0.0000 0.0000 0.4181
4 N 0.0163 0.5081 0.2469



Record 17
## Hf2MgV (PBE)

Data for a relaxed Hf2MgV crystal.

Results
The crystal system is tetragonal. For the energy relative to the elements, the calculation gives 0.7594 eV per atom.

Cell: 4.093 4.093 20.081 Å, 90.00 90.00 90.00°
Space group I-42d (No. 122)
Inequivalent atoms, fractional coordinates:
1 Hf 0.239 0.250 0.125
2 Mg 0.000 0.000 0.500
3 V 0.000 0.000 0.000



Record 18
## Np5As4P (PBE)

Data for a relaxed Np5As4P crystal.

Results
The crystal system is tetragonal. For the energy relative to the elements, the calculation gives -0.6941 eV per atom.

Cell: 4.073 4.073 28.810 Å, 90.00 90.00 90.00°
Space group I4/mmm (No. 139)
Inequivalent atoms, fractional coordinates:
1 Np 0.000 0.000 0.000
2 Np 0.000 0.000 0.200
3 Np 0.000 0.000 0.403
4 As 0.000 0.000 0.100
5 As 0.000 0.000 0.301
6 P 0.000 0.000 0.500



Record 19
## SrMg2Hg (PBE)

Data for a relaxed SrMg2Hg crystal.

Results
The crystal system is monoclinic. For the energy relative to the elements, the calculation gives -0.2933 eV per atom.

Cell: 4.695 8.443 6.159 Å, 90.00 112.26 90.00°
Space group P2_1/m (No. 11)
Inequivalent atoms, fractional coordinates:
1 Sr 0.058 0.250 0.116
2 Mg 0.349 0.057 0.699
3 Hg 0.229 0.750 0.459



Record 20
## LiZrGa2 (PBE)

Data for a relaxed LiZrGa2 crystal.

Results
The crystal system is cubic. For the energy relative to the elements, the calculation gives -0.3125 eV per atom. As for the offset from the most stable computed form: 168.7 meV/atom.

Cell: 6.550 6.550 6.550 Å, 90.00 90.00 90.00°
Space group Fm-3m (No. 225)
Inequivalent atoms, fractional coordinates:
1 Li 0.000 0.000 0.000
2 Zr 0.000 0.000 0.500
3 Ga 0.250 0.250 0.250



Record 21
## BeHgAu2 (PBE)

Data for a relaxed BeHgAu2 crystal.

Results
The crystal system is orthorhombic. For the energy relative to the elements, the calculation gives 0.0060 eV per atom. As for the offset from the most stable computed form: 37.1 meV/atom.

Cell: 2.857 3.442 15.016 Å, 90.00 90.00 90.00°
Space group Imm2 (No. 44)
Inequivalent atoms, fractional coordinates:
1 Be 0.000 0.000 0.000
2 Hg 0.000 0.500 0.732
3 Au 0.000 0.000 0.566
4 Au 0.000 0.500 0.375



Record 22
## TiMn2NbH (PBE)

Data for a relaxed TiMn2NbH crystal.

Results
Its total energy is -39.7 eV for the cell shown. The crystal system is tetragonal.

Cell: 4.186 4.186 3.319 Å, 90.00 90.00 90.00°
Space group P4/mmm (No. 123)
Inequivalent atoms, fractional coordinates:
1 Ti 0.000 0.000 0.000
2 Mn 0.000 0.500 0.500
3 Nb 0.500 0.500 0.000
4 H 0.000 0.000 0.500



Record 23
## Ce6GaSi (PBE)

Data for a relaxed Ce6GaSi crystal.

Results
The crystal system is tetragonal. The uncorrected formation energy comes out at -0.296 eV/atom. As for the offset from the most stable computed form: 0.0 meV/atom.

Cell: 4.602 4.602 9.202 Å, 90.00 90.00 90.00°
Space group P4/mmm (No. 123)
Inequivalent atoms, fractional coordinates:
1 Ce 0.000 0.000 0.000
2 Ce 0.000 0.000 0.500
3 Ce 0.000 0.500 0.244
4 Ga 0.500 0.500 0.500
5 Si 0.500 0.500 0.000



Record 24
## Er3Th2 (PBE)

Data for a relaxed Er3Th2 crystal.

Results
The crystal system is trigonal. For the energy relative to the elements, the calculation gives 0.0228 eV per atom. As for the offset from the most stable computed form: 0.0 meV/atom.

Cell: 3.5508 3.5508 43.0939 Å, 90.00 90.00 120.00°
Space group R-3m (No. 166, hexagonal axes)
Inequivalent atoms, fractional coordinates:
1 Er 0.0000 0.0000 0.0000
2 Er 0.0000 0.0000 0.4000
3 Th 0.0000 0.0000 0.1996



Record 25
## CsGaS2N (PBE)

Data for a relaxed CsGaS2N crystal.

Results
The crystal system is tetragonal. The uncorrected formation energy comes out at 1.544 eV/atom.

Cell: 5.684 5.684 5.495 Å, 90.00 90.00 90.00°
Space group P4/mmm (No. 123)
Inequivalent atoms, fractional coordinates:
1 Cs 0.000 0.000 0.000
2 Ga 0.500 0.500 0.500
3 S 0.000 0.500 0.000
4 N 0.000 0.000 0.500